Compound: NaAcNp2O8
Source: the Alexandria database
Functional: GGA-PBE
Structure: relaxed

formation energy (no corrections): -61.7 kcal/mol of atoms
size of the total moment: 2.00 μB per formula unit
N(E_F): 0.8484 states/eV per atom

Structure (CIF):
```
data_NaAcNp2O8
_space_group_name_H-M_alt 'P 1'
_space_group_IT_number 1
_space_group_name_Hall 'P 1'
_cell_length_a 5.569
_cell_length_b 5.569
_cell_length_c 6.593
_cell_angle_alpha 114.98
_cell_angle_beta 114.98
_cell_angle_gamma 90.00
loop_
_atom_site_label
_atom_site_type_symbol
_atom_site_fract_x
_atom_site_fract_y
_atom_site_fract_z
Na1 Na 0.750 0.250 0.500
O1 O 0.575 0.630 0.721
Np1 Np 0.500 0.500 0.000
O2 O 0.145 0.091 0.721
O3 O 0.842 0.825 0.224
O4 O 0.600 0.158 0.776
O5 O 0.175 0.618 0.776
O6 O 0.370 0.855 0.279
O7 O 0.909 0.425 0.279
Np2 Np 0.250 0.750 0.500
Ac1 Ac 0.000 0.000 0.000
O8 O 0.382 0.400 0.224
```